Here is a PBEsol-optimized structure of PbAu from the Alexandria database. Energies are from SCAN. Values from VASP.

Cell and atoms, written as Quantum ESPRESSO input:
```
&SYSTEM
  ibrav = 0, nat = 4, ntyp = 2
/
ATOMIC_SPECIES
Au 196.97 Au.upf
Pb 207.20 Pb.upf
ATOMIC_POSITIONS crystal
Au 0.000 0.000 0.000
Au 0.250 0.750 0.500
Pb 0.750 0.250 0.500
Pb 0.500 0.500 0.000
CELL_PARAMETERS angstrom
4.250 0.000 0.000
0.000 4.250 0.000
-2.125 -2.125 5.071
```

Computed properties:
Magnetization: 0.000 μB per formula unit
Space-group type: I4_1/amd, No. 141
ΔE_f: 0.090 eV per atom
Energy: -289.5 eV/cell